Entry 1:
Computed, not measured: a relaxed structure of Ca3Ni6Ge5 at the PBE level of DFT.

a b c (Å): 3.997 9.665 12.124
angles (deg): 90.00 90.00 90.00
Element x y z (fractional)
Ge1 0.500 0.107 0.500
Ge2 0.000 0.853 0.327
Ge3 0.000 0.513 0.119
Ge4 0.000 0.853 0.673
Ge5 0.500 0.147 0.173
Ge6 0.500 0.147 0.827
Ge7 0.000 0.513 0.881
Ge8 0.500 0.487 0.619
Ge9 0.500 0.487 0.381
Ge10 0.000 0.893 0.000
Ni1 0.000 0.595 0.696
Ni2 0.000 0.010 0.172
Ni3 0.500 0.405 0.196
Ni4 0.500 0.018 0.000
Ni5 0.500 0.492 0.000
Ni6 0.000 0.010 0.828
Ni7 0.500 0.990 0.328
Ni8 0.500 0.405 0.804
Ni9 0.000 0.508 0.500
Ni10 0.000 0.595 0.304
Ni11 0.000 0.982 0.500
Ni12 0.500 0.990 0.672
Ca1 0.500 0.749 0.842
Ca2 0.000 0.248 0.000
Ca3 0.500 0.749 0.158
Ca4 0.000 0.251 0.658
Ca5 0.500 0.752 0.500
Ca6 0.000 0.251 0.342

SG: No. 59
Formation enthalpy at 0 K: -494 meV per atom



Entry 2:
Computed, not measured: a relaxed structure of RbTl3S at the PBE level of DFT.

a b c (Å): 6.375 6.375 6.375
angles (deg): 90.00 90.00 90.00
Element x y z (fractional)
Tl1 0.500 0.000 0.000
Tl2 0.000 0.500 0.000
Tl3 0.000 0.000 0.500
Rb1 0.000 0.000 0.000
S1 0.500 0.500 0.500

Offset from the most stable computed form: 0.867 eV/atom
SG: No. 221
ΔE_f (raw): 837 meV/atom



Entry 3:
Computed, not measured: a relaxed structure of Pr12Er7Zr at the PBE level of DFT.

a b c (Å): 6.232 11.529 11.529
angles (deg): 116.83 100.38 100.38
Element x y z (fractional)
Er1 0.354 0.240 0.240
Er2 0.500 0.000 0.000
Er3 0.646 0.760 0.760
Er4 0.885 0.240 0.999
Er5 0.886 0.001 0.240
Er6 0.115 0.760 0.001
Er7 0.114 0.999 0.760
Pr1 0.428 0.352 0.999
Pr2 0.912 0.824 0.412
Pr3 0.571 0.999 0.648
Pr4 0.088 0.588 0.176
Pr5 0.076 0.648 0.648
Pr6 0.572 0.648 0.001
Pr7 0.429 0.001 0.352
Pr8 0.500 0.588 0.412
Pr9 0.912 0.412 0.824
Pr10 0.088 0.176 0.588
Pr11 0.500 0.412 0.588
Pr12 0.924 0.352 0.352
Zr1 0.000 0.000 0.000

SG: No. 148
Formation enthalpy at 0 K: 204 meV per atom



Entry 4:
Computed, not measured: a relaxed structure of CsSeBr3 at the PBE level of DFT.

a b c (Å): 11.613 10.347 10.347
angles (deg): 54.63 104.77 75.23
Element x y z (fractional)
Br1 0.412 0.302 0.739
Br2 0.088 0.239 0.802
Br3 0.912 0.761 0.198
Br4 0.049 0.917 0.776
Br5 0.136 0.275 0.280
Br6 0.364 0.780 0.775
Br7 0.549 0.724 0.583
Br8 0.451 0.276 0.417
Br9 0.864 0.725 0.720
Br10 0.588 0.698 0.261
Br11 0.636 0.220 0.225
Br12 0.951 0.083 0.224
Cs1 0.250 0.437 0.937
Cs2 0.250 0.760 0.260
Cs3 0.750 0.563 0.063
Cs4 0.750 0.240 0.740
Se1 0.780 0.982 0.230
Se2 0.220 0.018 0.770
Se3 0.280 0.270 0.518
Se4 0.720 0.730 0.482

SG: No. 15
ΔE_f (raw): -754 meV/atom



Entry 5:
Computed, not measured: a relaxed structure of Li5B6C6 at the PBE level of DFT.

a b c (Å): 7.237 7.237 8.681
angles (deg): 123.04 123.04 21.67
Element x y z (fractional)
Li1 0.000 0.000 0.000
Li2 0.333 0.333 0.997
Li3 0.667 0.667 0.003
Li4 0.153 0.153 0.496
Li5 0.847 0.847 0.504
C1 0.305 0.305 0.249
C2 0.361 0.361 0.748
C3 0.639 0.639 0.252
C4 0.695 0.695 0.751
C5 0.967 0.967 0.234
C6 0.033 0.033 0.766
B1 0.475 0.475 0.758
B2 0.197 0.197 0.254
B3 0.803 0.803 0.746
B4 0.525 0.525 0.242
B5 0.137 0.137 0.752
B6 0.863 0.863 0.248

Offset from the most stable computed form: 0.004 eV/atom
SG: No. 12
Formation enthalpy at 0 K: -285 meV per atom



Entry 6:
Computed, not measured: a relaxed structure of Ca3Pm12Mg5 at the PBE level of DFT.

a b c (Å): 16.436 16.436 16.436
angles (deg): 109.47 109.47 109.47
Last column: magnetic moment on the atom in μB.
Element x y z (fractional)
Ca1 0.625 0.375 0.750  0.08
Ca2 0.625 0.250 0.375  0.08
Ca3 0.375 0.625 0.250  0.08
Ca4 0.750 0.375 0.125  0.08
Ca5 0.125 0.875 0.750  0.08
Ca6 0.125 0.250 0.875  0.08
Ca7 0.875 0.125 0.250  0.08
Ca8 0.250 0.625 0.875  0.08
Ca9 0.750 0.875 0.625  0.08
Ca10 0.375 0.750 0.625  0.08
Ca11 0.250 0.125 0.375  0.08
Ca12 0.875 0.750 0.125  0.08
Pm1 0.442 0.782 0.871  0.23
Pm2 0.871 0.589 0.930  0.23
Pm3 0.371 0.942 0.782  0.23
Pm4 0.129 0.411 0.070  0.23
Pm5 0.840 0.911 0.282  0.23
Pm6 0.129 0.718 0.558  0.23
Pm7 0.411 0.129 0.570  0.23
Pm8 0.558 0.218 0.129  0.23
Pm9 0.058 0.430 0.840  0.23
Pm10 0.218 0.558 0.629  0.23
Pm11 0.718 0.129 0.058  0.23
Pm12 0.430 0.058 0.340  0.23
Pm13 0.089 0.160 0.218  0.23
Pm14 0.160 0.089 0.718  0.23
Pm15 0.371 0.430 0.089  0.23
Pm16 0.782 0.340 0.911  0.23
Pm17 0.282 0.871 0.942  0.23
Pm18 0.089 0.930 0.371  0.23
Pm19 0.070 0.160 0.442  0.23
Pm20 0.942 0.371 0.282  0.23
Pm21 0.629 0.058 0.218  0.23
Pm22 0.430 0.371 0.589  0.23
Pm23 0.442 0.660 0.070  0.23
Pm24 0.840 0.930 0.058  0.23
Pm25 0.911 0.840 0.782  0.23
Pm26 0.660 0.442 0.570  0.23
Pm27 0.718 0.589 0.160  0.23
Pm28 0.160 0.070 0.942  0.23
Pm29 0.942 0.570 0.160  0.23
Pm30 0.558 0.340 0.930  0.23
Pm31 0.340 0.558 0.430  0.23
Pm32 0.070 0.911 0.129  0.23
Pm33 0.589 0.718 0.660  0.23
Pm34 0.340 0.782 0.411  0.23
Pm35 0.660 0.218 0.589  0.23
Pm36 0.282 0.411 0.840  0.23
Pm37 0.871 0.282 0.442  0.23
Pm38 0.629 0.570 0.911  0.23
Pm39 0.782 0.442 0.371  0.23
Pm40 0.058 0.629 0.718  0.23
Pm41 0.930 0.840 0.558  0.23
Pm42 0.930 0.089 0.871  0.23
Pm43 0.411 0.282 0.340  0.23
Pm44 0.570 0.629 0.411  0.23
Pm45 0.589 0.871 0.430  0.23
Pm46 0.911 0.070 0.629  0.23
Pm47 0.570 0.942 0.660  0.23
Pm48 0.218 0.660 0.089  0.23
Mg1 0.000 0.500 0.000  0.00
Mg2 0.250 0.875 0.125  0.00
Mg3 0.625 0.750 0.875  0.00
Mg4 0.250 0.375 0.625  0.00
Mg5 0.500 0.500 0.000  0.00
Mg6 0.500 0.000 0.000  0.00
Mg7 0.875 0.250 0.625  0.00
Mg8 0.750 0.125 0.875  0.00
Mg9 0.125 0.375 0.250  0.00
Mg10 0.125 0.750 0.375  0.00
Mg11 0.875 0.625 0.750  0.00
Mg12 0.000 0.500 0.500  0.00
Mg13 0.375 0.250 0.125  0.00
Mg14 0.000 0.000 0.500  0.00
Mg15 0.625 0.875 0.250  0.00
Mg16 0.375 0.125 0.750  0.00
Mg17 0.500 0.000 0.500  0.00
Mg18 0.500 0.500 0.500  0.00
Mg19 0.000 0.000 0.000  0.00
Mg20 0.750 0.625 0.375  0.00

SG: No. 230
Formation enthalpy at 0 K: 780 meV per atom



no.,volume (Å³ per cell)
1,468.3
2,259.1
3,694.1
4,842.9
5,139.6
6,3417.9